No. 1
Material: FeNi3Se
Method: DFT, PBE
State: optimized geometry

The energy above the most stable polymorph in this dataset comes out at 310.5 meV per atom. For the density of states at the Fermi level, the calculation gives 5.3 states/eV/cell. Its formation energy (no corrections) is 0.96 eV per atom. The value obtained for the electronic total energy is -4.898 eV per atom.

The space group is Pm-3m (No. 221) and the conventional cell measures 4.323, 4.323 and 4.323 Å, with angles of 90.00, 90.00 and 90.00 degrees. The asymmetric unit holds Fe at (0.000, 0.000, 0.000), Ni at (0.000, 0.000, 0.500) and Se at (0.500, 0.500, 0.500).

---

No. 2
Material: FeSi2NiSe
Method: DFT, PBE
State: optimized geometry

For the density of states at the Fermi level, the calculation gives 6.3 states/eV/cell. Its formation energy (no corrections) is 1.21 eV per atom. The value obtained for the electronic total energy is -4.503 eV per atom.

The space group is P4/mmm (No. 123) and the conventional cell measures 4.854, 4.854 and 4.235 Å, with angles of 90.00, 90.00 and 90.00 degrees. The asymmetric unit holds Fe at (0.000, 0.000, 0.000), Si at (0.000, 0.500, 0.500), Ni at (0.500, 0.500, 0.000) and Se at (0.500, 0.500, 0.500).

---

No. 3
Material: FeTcNi2Se
Method: DFT, PBE
State: optimized geometry

For the density of states at the Fermi level, the calculation gives 7.4 states/eV/cell. Its formation energy (no corrections) is 1.34 eV per atom. The value obtained for the electronic total energy is -5.434 eV per atom.

The space group is P4/mmm (No. 123) and the conventional cell measures 4.514, 4.514 and 4.463 Å, with angles of 90.00, 90.00 and 90.00 degrees. The asymmetric unit holds Fe at (0.000, 0.000, 0.000), Tc at (0.000, 0.000, 0.500), Ni at (0.000, 0.500, 0.500) and Se at (0.500, 0.500, 0.000).

---

No. 4
Material: TiFeNiSe2
Method: DFT, PBE
State: optimized geometry

For the density of states at the Fermi level, the calculation gives 6.0 states/eV/cell. Its formation energy (no corrections) is 0.68 eV per atom. The value obtained for the electronic total energy is -5.142 eV per atom.

The space group is P4/mmm (No. 123) and the conventional cell measures 4.855, 4.855 and 4.486 Å, with angles of 90.00, 90.00 and 90.00 degrees. The asymmetric unit holds Ti at (0.000, 0.000, 0.000), Fe at (0.000, 0.000, 0.500), Ni at (0.500, 0.500, 0.500) and Se at (0.000, 0.500, 0.000).

---

No. 5
Material: ZnFeNiSe2
Method: DFT, PBE
State: optimized geometry

For the density of states at the Fermi level, the calculation gives 5.1 states/eV/cell. Its formation energy (no corrections) is 1.06 eV per atom. The value obtained for the electronic total energy is -3.437 eV per atom.

The space group is P4/mmm (No. 123) and the conventional cell measures 4.833, 4.833 and 4.553 Å, with angles of 90.00, 90.00 and 90.00 degrees. The asymmetric unit holds Zn at (0.000, 0.000, 0.000), Fe at (0.000, 0.000, 0.500), Ni at (0.500, 0.500, 0.500) and Se at (0.000, 0.500, 0.000).

---

No. 6
Material: FeSiNi14
Method: DFT, PBE
State: optimized geometry

For the density of states at the Fermi level, the calculation gives 23.7 states/eV/cell. Its formation energy (no corrections) is -0.12 eV per atom. The value obtained for the electronic total energy is -6.043 eV per atom.

The space group is P4/mmm (No. 123) and the conventional cell measures 4.997, 4.997 and 6.979 Å, with angles of 90.00, 90.00 and 90.00 degrees. The asymmetric unit holds Fe at (0.000, 0.000, 0.000), Si at (0.500, 0.500, 0.000), Ni at (0.000, 0.000, 0.500), Ni at (0.000, 0.500, 0.000), Ni at (0.000, 0.500, 0.500), Ni at (0.251, 0.251, 0.248) and Ni at (0.500, 0.500, 0.500).

---

No. 7
Material: Fe4SiNi
Method: DFT, PBE
State: optimized geometry

The energy above the most stable polymorph in this dataset comes out at 296.8 meV per atom. For the density of states at the Fermi level, the calculation gives 24.8 states/eV/cell. Its formation energy (no corrections) is 0.16 eV per atom. The value obtained for the electronic total energy is -7.346 eV per atom.

The space group is F-43m (No. 216) and the conventional cell measures 6.574, 6.574 and 6.574 Å, with angles of 90.00, 90.00 and 90.00 degrees. The asymmetric unit holds Fe at (0.125, 0.125, 0.125), Si at (0.250, 0.250, 0.750) and Ni at (0.000, 0.000, 0.500).

---

No. 8
Material: FeSi2Ni
Method: DFT, PBE
State: optimized geometry

For the density of states at the Fermi level, the calculation gives 7.6 states/eV/cell. Its formation energy (no corrections) is -0.30 eV per atom. The value obtained for the electronic total energy is -6.577 eV per atom.

The space group is R-3m (No. 166, hexagonal axes) and the conventional cell measures 2.6622, 2.6622 and 22.1827 Å, with angles of 90.00, 90.00 and 120.00 degrees. The asymmetric unit holds Fe at (0.0000, 0.0000, 0.0000), Si at (0.0000, 0.0000, 0.2521) and Ni at (0.0000, 0.0000, 0.5000).

---

No. 9
Material: Fe5SiNi6
Method: DFT, PBE
State: optimized geometry

For the density of states at the Fermi level, the calculation gives 16.3 states/eV/cell. Its formation energy (no corrections) is -0.15 eV per atom. The value obtained for the electronic total energy is -7.018 eV per atom.

The space group is C2/m (No. 12) and the conventional cell measures 12.282, 5.003 and 4.367 Å, with angles of 90.00, 90.70 and 90.00 degrees. The asymmetric unit holds Fe at (0.000, 0.000, 0.000), Fe at (0.169, 0.000, 0.337), Fe at (0.169, 0.500, 0.333), Si at (0.000, 0.500, 0.000), Ni at (0.000, 0.251, 0.500) and Ni at (0.165, 0.250, 0.836).

---

No. 10
Material: Fe2Si2Ni
Method: DFT, PBE
State: optimized geometry

For the density of states at the Fermi level, the calculation gives 10.2 states/eV/cell. Its formation energy (no corrections) is -0.31 eV per atom. The value obtained for the electronic total energy is -7.023 eV per atom.

The space group is P4/mbm (No. 127) and the conventional cell measures 6.501, 6.501 and 2.646 Å, with angles of 90.00, 90.00 and 90.00 degrees. The asymmetric unit holds Fe at (0.151, 0.349, 0.000), Si at (0.146, 0.646, 0.500) and Ni at (0.000, 0.000, 0.500).

---

No. 11
Material: FeSiNi
Method: DFT, PBE
State: optimized geometry

For the density of states at the Fermi level, the calculation gives 15.5 states/eV/cell. Its formation energy (no corrections) is -0.18 eV per atom. The value obtained for the electronic total energy is -6.737 eV per atom.

The space group is F-43m (No. 216) and the conventional cell measures 5.324, 5.324 and 5.324 Å, with angles of 90.00, 90.00 and 90.00 degrees. The asymmetric unit holds Fe at (0.000, 0.000, 0.000), Si at (0.250, 0.250, 0.250) and Ni at (0.000, 0.000, 0.500).

---

No. 12
Material: FeSiNi6
Method: DFT, PBE
State: optimized geometry

The energy above the most stable polymorph in this dataset comes out at 161.1 meV per atom. For the density of states at the Fermi level, the calculation gives 8.7 states/eV/cell. Its formation energy (no corrections) is -0.09 eV per atom. The value obtained for the electronic total energy is -6.162 eV per atom.

The space group is P-1 (No. 2) and the conventional cell measures 4.471, 4.476 and 4.479 Å, with angles of 89.12, 89.13 and 89.78 degrees. The asymmetric unit holds Fe at (0.000, 0.000, 0.000), Si at (0.500, 0.500, 0.500), Ni at (0.007, 0.509, 0.749), Ni at (0.251, 0.993, 0.490) and Ni at (0.496, 0.251, 0.992).

---

No. 13
Material: FeSiNi4
Method: DFT, PBE
State: optimized geometry

The energy above the most stable polymorph in this dataset comes out at 283.8 meV per atom. For the density of states at the Fermi level, the calculation gives 16.5 states/eV/cell. Its formation energy (no corrections) is 0.07 eV per atom. The value obtained for the electronic total energy is -6.095 eV per atom.

The space group is F-43m (No. 216) and the conventional cell measures 6.548, 6.548 and 6.548 Å, with angles of 90.00, 90.00 and 90.00 degrees. The asymmetric unit holds Fe at (0.000, 0.000, 0.000), Si at (0.250, 0.250, 0.250) and Ni at (0.125, 0.125, 0.625).